[1]
A plane-wave DFT calculation with SCAN was carried out for Ag2TeRh at its PBEsol-relaxed geometry.

abc: 3.161 3.161 8.818
angles: 79.68 79.68 60.00
Positions (direct):
Ag 0.005 0.005 0.985
Te 0.239 0.239 0.283
Ag 0.754 0.754 0.738
Rh 0.502 0.502 0.493

Properties
Crystal system = trigonal
Space-group type = R3m, No. 160

***

[2]
A plane-wave DFT calculation with SCAN was carried out for Ag2TeRh at its PBEsol-relaxed geometry.

abc: 3.885 3.885 5.355
angles: 111.27 111.27 90.00
Positions (direct):
Rh 0.500 0.500 0.000
Te 0.000 0.000 0.000
Ag 0.250 0.750 0.500
Ag 0.750 0.250 0.500

Properties
Crystal system = tetragonal
Space-group type = I4/mmm, No. 139

***

[3]
A plane-wave DFT calculation with SCAN was carried out for AgTeRh at its PBEsol-relaxed geometry.

abc: 3.435 3.435 5.931
angles: 90.00 90.00 120.00
Positions (direct):
Rh 0.333 0.667 0.648
Ag 0.000 0.000 0.967
Te 0.667 0.333 0.385

Properties
Crystal system = trigonal
Energy relative to the lowest polymorph listed for this composition = 0 meV per atom
Space-group type = P3m1, No. 156

***

What uncorrected formation energy values result from the calculations? In sequence: 2.7 1.4 -0.2 kcal/mol of atoms.
What ρ values result from the calculations? In sequence: 9.9 10.7 9.3 g/cm³.